Li3FeO6 | PBE+U | optimized geometry

It has space group Cmmm (No. 65), with a = 7.709 Å, b = 12.131 Å, c = 7.222 Å, α = 90.00°, β = 90.00° and γ = 90.00°. The asymmetric unit holds Li at (0.000, 0.000, 0.000), Li at (0.250, 0.250, 0.500), Fe at (0.000, 0.000, 0.500), O at (0.000, 0.000, 0.249) and O at (0.146, 0.116, 0.500).

The calculation puts the total DFT energy (no corrections) at -4.634 eV/atom.